Below is crystalline KIn at its relaxed geometry, with properties calculated at the GGA-PBEsol level.

Cell: 6.856 6.856 6.856 Å, 44.21 44.21 44.21°
Element x y z (fractional)
K 0.108 0.108 0.108
K 0.892 0.892 0.892
In 0.334 0.334 0.334
In 0.666 0.666 0.666



Below is crystalline KIn2 at its relaxed geometry, with properties calculated at the GGA-PBEsol level.

Cell: 5.186 5.186 3.758 Å, 90.00 90.00 120.00°
Element x y z (fractional)
K 0.000 0.000 0.000
In 0.333 0.667 0.500
In 0.667 0.333 0.500



no.,calculated total energy (eV/atom),formation energy from the elements (kcal/mol of atoms)
1,-2.171,-2.601
2,-2.469,-2.377